1.
Hf2CoTc (PBE-GGA, optimized geometry); size of the total moment = 0.0 μB/f.u.; ΔE_f = -0.494 eV/atom; SG = Fm-3m, No. 225; relative energy among the computed polymorphs = 0 meV per atom
1.0
-4.016 2.075 0.307
-2.940 -5.696 0.036
0.855 -0.355 13.563
Hf Co Tc
12 6 6
Direct
0.500 0.250 0.000
0.500 0.250 0.333
0.000 0.750 0.833
0.000 0.250 0.833
0.500 0.750 0.667
0.000 0.250 0.500
0.500 0.750 0.333
0.500 0.250 0.667
0.000 0.750 0.167
0.000 0.750 0.500
0.500 0.750 0.000
0.000 0.250 0.167
0.000 0.500 0.333
0.500 0.000 0.833
0.500 0.000 0.167
0.000 0.500 0.000
0.500 0.000 0.500
0.000 0.500 0.667
0.000 0.000 0.333
0.500 0.500 0.500
0.500 0.500 0.833
0.000 0.000 0.667
0.000 0.000 0.000
0.500 0.500 0.167

---

2.
SrCoAgTe3 (PBE-GGA, optimized geometry); size of the total moment = 0.0 μB/f.u.; SG = P2_1/m, No. 11; relative energy among the computed polymorphs = 0 meV per atom
1.0
-0.424 -7.592 1.786
1.168 -0.980 -3.889
9.243 2.926 2.038
Sr Te Co Ag
2 6 2 2
Direct
0.727 0.250 0.282
0.273 0.750 0.718
0.194 0.250 0.437
0.618 0.250 0.889
0.041 0.250 0.879
0.806 0.750 0.563
0.382 0.750 0.111
0.959 0.750 0.121
0.831 0.750 0.857
0.169 0.250 0.143
0.422 0.750 0.402
0.578 0.250 0.598

---

3.
NbSbW2 (PBE-GGA, optimized geometry); size of the total moment = 0.0 μB/f.u.; SG = F-43m, No. 216; calculated total energy = -9.63 eV per atom
1.0
0.000 3.278 3.278
3.278 0.000 3.278
3.278 3.278 0.000
W Nb Sb
2 1 1
Direct
0.750 0.750 0.750
0.000 0.000 0.000
0.250 0.250 0.250
0.500 0.500 0.500

---

4.
YLuCd (PBE-GGA, optimized geometry); size of the total moment = 0.0 μB/f.u.; ΔE_f = 0.100 eV/atom; SG = F-43m, No. 216; relative energy among the computed polymorphs = 0 meV per atom
1.0
0.000 3.590 3.590
3.590 0.000 3.590
3.590 3.590 0.000
Lu Cd Y
1 1 1
Direct
0.250 0.250 0.250
0.000 0.000 0.000
0.750 0.750 0.750

---

5.
AcDyMo (PBE-GGA, optimized geometry); size of the total moment = 1.8 μB/f.u.; ΔE_f = 1.266 eV/atom; SG = F-43m, No. 216
1.0
-1.517 -4.641 1.419
-4.164 -2.057 -2.070
0.429 -3.911 -3.221
Mo Dy Ac
1 1 1
Direct
0.750 0.750 0.750
0.000 0.000 0.000
0.250 0.250 0.250

---

6.
Zr2Sc4Bi3C3 (PBE-GGA, optimized geometry); size of the total moment = 0.0 μB/f.u.; SG = C2/c, No. 15; calculated total energy = -7.52 eV per atom
1.0
5.176 -2.987 0.000
5.176 2.987 0.000
-3.456 0.000 14.692
Bi Zr Sc C
6 4 8 6
Direct
0.416 0.248 0.751
0.920 0.080 0.250
0.752 0.584 0.749
0.584 0.752 0.249
0.248 0.416 0.251
0.080 0.920 0.750
0.356 0.527 0.581
0.473 0.644 0.919
0.644 0.473 0.419
0.527 0.356 0.081
0.865 0.693 0.081
0.189 0.031 0.081
0.969 0.811 0.419
0.031 0.189 0.581
0.811 0.969 0.919
0.135 0.307 0.919
0.307 0.135 0.419
0.693 0.865 0.581
0.663 0.174 0.500
0.337 0.826 0.500
0.174 0.663 0.000
0.826 0.337 0.000
0.000 0.500 0.500
0.500 0.000 0.000

---

7.
Pr3InBr2Cl (PBE-GGA, optimized geometry); size of the total moment = 0.0 μB/f.u.; SG = P4/mmm, No. 123; calculated total energy = -4.47 eV per atom
1.0
6.106 0.000 0.000
0.000 6.106 0.000
0.000 0.000 6.173
Pr Br Cl In
3 2 1 1
Direct
0.500 0.500 0.500
0.000 0.500 0.000
0.500 0.000 0.000
0.500 0.000 0.500
0.000 0.500 0.500
0.000 0.000 0.000
0.500 0.500 0.000

---

8.
TbIn2 (PBE-GGA, optimized geometry); size of the total moment = 0.0 μB/f.u.; SG = Fd-3m, No. 227; calculated total energy = -3.72 eV per atom
1.0
0.000 4.231 4.231
4.231 0.000 4.231
4.231 4.231 0.000
In Tb
4 2
Direct
0.625 0.125 0.625
0.625 0.625 0.125
0.125 0.625 0.625
0.625 0.625 0.625
0.250 0.250 0.250
0.000 0.000 0.000

---

9.
Dy2HoIn (PBE-GGA, optimized geometry); size of the total moment = 0.0 μB/f.u.; SG = P4/mmm, No. 123; calculated total energy = -4.40 eV per atom
1.0
-3.352 2.563 -2.329
-0.402 -3.507 -3.281
-3.454 -2.096 2.663
Ho In Dy
1 1 2
Direct
0.500 0.500 0.000
0.000 0.000 0.000
0.500 0.000 0.500
0.000 0.500 0.500

---

10.
PmGdNO (PBE-GGA, optimized geometry); size of the total moment = 0.8 μB/f.u.; SG = P4/nmm, No. 129; relative energy among the computed polymorphs = 463 meV per atom
1.0
3.039 -3.039 0.000
3.039 3.039 0.000
0.000 0.000 8.328
Gd N O Pm
2 2 2 2
Direct
0.250 0.750 0.500
0.750 0.250 0.500
0.750 0.750 0.380
0.250 0.250 0.620
0.250 0.750 0.000
0.750 0.250 0.000
0.250 0.250 0.114
0.750 0.750 0.886

---

11.
PmTcBi (PBE-GGA, optimized geometry); size of the total moment = 1.9 μB/f.u.; SG = F-43m, No. 216; calculated total energy = -5.97 eV per atom
1.0
2.427 -4.107 -1.129
-1.956 -3.219 -3.138
1.937 -0.553 -4.469
Pm Tc Bi
1 1 1
Direct
0.250 0.250 0.250
0.750 0.750 0.750
0.000 0.000 0.000

---

12.
Tc2Bi (PBE-GGA, optimized geometry); size of the total moment = 0.0 μB/f.u.; SG = Fd-3m, No. 227; calculated total energy = -7.65 eV per atom
1.0
0.000 3.812 3.812
3.812 0.000 3.812
3.812 3.812 0.000
Tc Bi
4 2
Direct
0.625 0.625 0.625
0.625 0.125 0.625
0.125 0.625 0.625
0.625 0.625 0.125
0.000 0.000 0.000
0.250 0.250 0.250